The following is a PBE-GGA calculation of CdCu2Ag after structural relaxation, from the Alexandria database.

The structure in extended XYZ format:
```
4
Lattice="3.6755 0.0000 0.0000 0.0000 4.1324 0.0000 0.0000 0.0000 4.1324" Properties=species:S:1:pos:R:3 pbc="T T T"
Cu 0.0000 0.0000 2.0662
Cu 0.0000 2.0662 0.0000
Ag 1.8378 2.0662 2.0662
Cd 1.8378 0.0000 0.0000
```

Calculated values
formation energy from the elements: 85 meV/atom
uncorrected energy: -2.9045 eV/atom
ρ: 9.2 g/cm³